A relaxed structure of Ac5YTl4, computed with PBE.

Computed properties:
The calculation puts the volume at 362 Å³/cell. The value obtained for the theoretical density is 9.368 g/cm3. The value obtained for the formation energy is -257.8 meV/atom. For the uncorrected energy, the calculation gives -3.905 eV/atom.

a b c (Å): 3.9573 3.9573 23.1077
angles (deg): 90.00 90.00 90.00
Last column: nearest neighbours and their distance in Å.
Space group P4/mmm (No. 123)
Symmetry-distinct sites (fractional):
Ac 0.0000 0.0000 0.0000 x1  8 Tl 3.61, 4 Ac 3.96
Ac 0.0000 0.0000 0.1961 x2  8 Tl 3.59, 4 Ac 3.96
Ac 0.0000 0.0000 0.3896 x2  4 Tl 3.58, 4 Y 3.79, 4 Ac 3.96
Y 0.5000 0.5000 0.5000 x1  8 Ac 3.79, 4 Y 3.96
Tl 0.5000 0.5000 0.0984 x2  8 Ac 3.59-3.61, 4 Tl 3.96
Tl 0.5000 0.5000 0.2932 x2  8 Ac 3.58-3.59, 4 Tl 3.96